[1]
ErTmTl2S4 PBE-GGA relaxed; volume = 207.04 Å³/cell; E_tot = -0.3876 Ry/atom; calculated density = 7.00 g/cm3; energy relative to the elements, uncorrected = -1490 meV/atom
1.0
3.985 0.000 0.000
0.000 6.901 0.118
0.000 -2.429 7.486
S Tm Er Tl
4 1 1 2
direct
0.000 0.733 0.196
0.500 0.769 0.805
0.500 0.231 0.195
0.000 0.267 0.804
0.000 0.000 0.000
0.500 0.500 0.000
0.500 0.000 0.500
0.000 0.500 0.500


[2]
Er2HfN PBE-GGA relaxed; volume = 85.54 Å³/cell; E_tot = -0.5432 Ry/atom; calculated density = 10.23 g/cm3; energy relative to the elements, uncorrected = -539 meV/atom
1.0
3.304 0.000 0.000
1.652 2.862 0.000
1.652 0.954 9.047
N Er Hf
1 2 1
direct
0.500 0.500 0.500
0.883 0.883 0.351
0.117 0.117 0.649
0.000 0.000 0.000


[3]
Ba2LaCd PBE-GGA relaxed; volume = 348.33 Å³/cell; energy relative to the lowest polymorph listed for this composition = 260 meV/atom; energy relative to the elements = 0.156 eV per atom; E_tot = -0.1665 Ry/atom; calculated density = 5.01 g/cm3
1.0
9.806 0.000 0.000
0.000 9.806 0.000
4.903 4.903 3.623
Ba Cd La
4 2 2
direct
0.875 0.840 0.750
0.160 0.625 0.250
0.590 0.125 0.250
0.375 0.410 0.750
0.500 0.500 0.000
0.250 0.750 0.500
0.000 0.000 0.000
0.750 0.250 0.500


[4]
Pr4Ru2Pt PBE-GGA relaxed; volume = 354.98 Å³/cell; energy relative to the elements = -0.370 eV per atom; E_tot = -0.4862 Ry/atom; calculated density = 8.99 g/cm3
1.0
7.956 -1.245 0.131
-1.756 7.847 0.441
-2.724 -3.104 5.629
Pr Ru Pt
8 4 2
direct
0.344 0.481 0.122
0.903 0.266 0.249
0.867 0.760 0.332
0.010 0.617 0.831
0.517 0.654 0.749
0.731 0.094 0.622
0.307 0.120 0.362
0.371 0.058 0.862
0.648 0.405 0.384
0.154 0.263 0.654
0.513 0.904 0.154
0.655 0.398 0.883
0.989 0.992 0.898
0.242 0.738 0.398


[5]
Pm4MgTl3 PBE-GGA relaxed; volume = 239.92 Å³/cell; energy relative to the lowest polymorph listed for this composition = 60 meV/atom; energy relative to the elements = -0.261 eV per atom; E_tot = -0.2736 Ry/atom; calculated density = 8.43 g/cm3
1.0
3.872 0.000 0.000
0.000 4.965 0.000
0.000 0.000 12.479
Pm Tl Mg
4 3 1
direct
0.000 0.000 0.159
0.500 0.500 0.344
0.500 0.000 0.653
0.000 0.500 0.846
0.500 0.000 0.924
0.000 0.000 0.419
0.000 0.500 0.584
0.500 0.500 0.069


[6]
Pr2AlZn PBE-GGA relaxed; volume = 104.22 Å³/cell; energy relative to the elements = -0.319 eV per atom; E_tot = -0.2913 Ry/atom; calculated density = 5.96 g/cm3
1.0
-1.241 3.405 -0.758
-3.066 -0.681 1.961
3.417 2.639 6.259
Zn Pr Al
1 2 1
direct
0.000 0.000 0.500
0.500 0.500 0.254
0.500 0.500 0.746
0.000 0.000 0.000


Among the records above, which one has the lowest calculated density? Ba2LaCd


Which of these has the lowest calculated density? Ba2LaCd


What is the E_tot in the first record? -0.3876 Ry/atom


Number 6 is which compound? Pr2AlZn